Entry from the Alexandria database: a relaxed CaLa2Al9 crystal (PBE).

```
12
Lattice="2.884 1.665 8.846 -2.884 1.665 8.846 0.000 -3.330 8.846" Properties=species:S:1:pos:R:3 pbc="T T T"
Ca 0.000 0.000 0.000
La 0.000 0.000 3.763
La 0.000 0.000 22.776
Al -1.479 -0.854 11.018
Al 0.000 0.000 8.905
Al 0.000 -1.707 15.520
Al -1.479 0.854 15.520
Al 0.000 0.000 13.269
Al 1.479 -0.854 11.018
Al 0.000 1.707 11.018
Al 0.000 0.000 17.633
Al 1.479 0.854 15.520
```

Values from the calculation:
DOS at the Fermi energy, states/eV per atom: 0.515
Energy of formation, eV per atom: -0.3237
Space group: R-3m
Electronic total energy, eV/atom: -4.119